(1)
## Pm2SiTe5 (PBE-GGA)

Data for a relaxed structure of Pm2SiTe5.

Geometry as POSCAR:
```
Pm2SiTe5
1.0
6.231 0.000 0.000
-3.116 7.471 0.000
0.000 0.000 13.500
Pm Si Te
4 2 10
Cartesian
3.116 4.905 5.727 Pm
3.116 4.905 1.023 Pm
0.000 2.566 7.773 Pm
0.000 2.566 12.477 Pm
3.116 4.616 10.125 Si
0.000 2.855 3.375 Si
3.116 6.947 12.126 Te
3.116 6.947 8.124 Te
0.000 4.625 5.392 Te
0.000 4.625 1.358 Te
3.116 2.906 3.375 Te
0.000 4.565 10.125 Te
3.116 2.846 8.108 Te
3.116 2.846 12.142 Te
0.000 0.524 1.374 Te
0.000 0.524 5.376 Te
```

Properties
VASP energy: -4.554 eV/atom
Space group: Cmcm, No. 63

---

(2)
## Pm2SiTe (PBE-GGA)

Data for a relaxed structure of Pm2SiTe.

Geometry as POSCAR:
```
Pm2SiTe
1.0
-3.057 4.142 -1.380
-2.930 2.494 3.687
1.315 4.921 1.567
Si Te Pm
1 1 2
Cartesian
-2.336 5.779 1.937 Si
0.000 0.000 0.000 Te
-1.168 2.889 0.969 Pm
-3.504 8.668 2.906 Pm
```

Properties
VASP energy: -5.241 eV/atom
Space group: Fm-3m, No. 225
E above lowest polymorph: 37.9 kJ/mol of atoms

---

(3)
## PmSiTe4 (PBE-GGA)

Data for a relaxed structure of PmSiTe4.

Geometry as POSCAR:
```
PmSiTe4
1.0
-4.197 6.987 2.209
-3.577 -7.547 1.249
6.865 -0.032 4.917
Pm Si Te
2 2 8
Cartesian
0.000 0.000 0.000 Pm
-0.610 3.338 4.427 Pm
-0.299 -3.930 3.947 Si
-3.887 -0.280 1.729 Si
-2.339 -5.315 3.332 Te
-1.361 -2.767 5.943 Te
-4.835 -1.780 3.548 Te
-1.848 1.106 2.345 Te
0.825 0.965 6.206 Te
0.649 -2.429 2.128 Te
4.040 -1.474 4.651 Te
1.854 -5.206 4.387 Te
```

Properties
VASP energy: -4.254 eV/atom
Space group: I4_1/amd, No. 141